Record 1
The following is a DFT calculation (PBE-GGA) of an optimized crystal structure of Rb2AgPdCl6.

```
data_Rb2AgPdCl6
_space_group_name_H-M_alt 'R -3 m'
_space_group_IT_number 166
_space_group_name_Hall '-R 3 2"'
_cell_length_a 7.1715
_cell_length_b 7.1715
_cell_length_c 37.0928
_cell_angle_alpha 90.00
_cell_angle_beta 90.00
_cell_angle_gamma 120.00
loop_
_atom_site_label
_atom_site_fract_x
_atom_site_fract_y
_atom_site_fract_z
Rb1 0.0000 0.0000 0.1243
Rb2 0.0000 0.0000 0.2962
Ag1 0.0000 0.0000 0.4125
Pd1 0.0000 0.0000 0.0000
Pd2 0.0000 0.0000 0.5000
Cl1 0.0086 0.5043 0.1282
Cl2 0.0113 0.5057 0.7051
```

Output
Density of states at the Fermi level: 0.366 states/eV/atom
Uncorrected formation energy: -103 kJ per mole of atoms



Record 2
The following is a DFT calculation (PBE-GGA) of an optimized crystal structure of RbAg2PdCl6.

```
data_RbAg2PdCl6
_space_group_name_H-M_alt 'P 1'
_space_group_IT_number 1
_cell_length_a 6.762
_cell_length_b 7.052
_cell_length_c 7.124
_cell_angle_alpha 90.60
_cell_angle_beta 113.38
_cell_angle_gamma 114.35
loop_
_space_group_symop_operation_xyz
'x,y,z'
loop_
_atom_site_label
_atom_site_fract_x
_atom_site_fract_y
_atom_site_fract_z
Rb1 0.000 0.000 0.000
Ag1 0.534 0.238 0.814
Ag2 0.552 0.825 0.382
Pd1 0.971 0.487 0.457
Cl1 0.123 0.475 0.214
Cl2 0.125 0.263 0.644
Cl3 0.405 0.845 0.666
Cl4 0.581 0.146 0.193
Cl5 0.787 0.689 0.264
Cl6 0.818 0.523 0.696
```

Output
Density of states at the Fermi level: 0.110 states/eV/atom
Uncorrected formation energy: -68 kJ per mole of atoms



Record 3
The following is a DFT calculation (PBE-GGA) of an optimized crystal structure of Rb3Ag2PdCl6.

```
data_Rb3Ag2PdCl6
_space_group_name_H-M_alt 'P -3 m 1'
_space_group_IT_number 164
_space_group_name_Hall '-P 3 2"'
_cell_length_a 7.7410
_cell_length_b 7.7410
_cell_length_c 8.1910
_cell_angle_alpha 90.00
_cell_angle_beta 90.00
_cell_angle_gamma 120.00
loop_
_atom_site_label
_atom_site_fract_x
_atom_site_fract_y
_atom_site_fract_z
Rb1 0.0000 0.0000 0.0000
Rb2 0.3333 0.6667 0.6277
Ag1 0.3333 0.6667 0.2029
Pd1 0.0000 0.0000 0.5000
Cl1 0.1568 0.3136 0.3035
```

Output
Density of states at the Fermi level: 0.166 states/eV/atom
Uncorrected formation energy: -97 kJ per mole of atoms



Record 4
The following is a DFT calculation (PBE-GGA) of an optimized crystal structure of AgPd2RhCl.

```
data_AgPd2RhCl
_space_group_name_H-M_alt 'P 4/m m m'
_space_group_IT_number 123
_space_group_name_Hall '-P 4 2'
_cell_length_a 4.963
_cell_length_b 4.963
_cell_length_c 4.458
_cell_angle_alpha 90.00
_cell_angle_beta 90.00
_cell_angle_gamma 90.00
loop_
_atom_site_label
_atom_site_fract_x
_atom_site_fract_y
_atom_site_fract_z
Ag1 0.000 0.000 0.000
Pd1 0.000 0.500 0.500
Rh1 0.500 0.500 0.500
Cl1 0.500 0.500 0.000
```

Output
Density of states at the Fermi level: 1.049 states/eV/atom
Uncorrected formation energy: 71 kJ per mole of atoms